# GGA-PBE Na2Al3CuF12, relaxed
data_Na2Al3CuF12
_space_group_name_H-M_alt 'P 1'
_space_group_IT_number 1
_space_group_name_Hall 'P 1'
_cell_length_a 6.890
_cell_length_b 6.890
_cell_length_c 6.890
_cell_angle_alpha 61.59
_cell_angle_beta 61.59
_cell_angle_gamma 61.59
loop_
_atom_site_label
_atom_site_type_symbol
_atom_site_fract_x
_atom_site_fract_y
_atom_site_fract_z
_atom_site_occupancy
Na1 Na 0.155 0.155 0.155 1
Na2 Na 0.845 0.845 0.845 1
Al1 Al 0.000 0.500 0.500 1
Al2 Al 0.500 0.000 0.500 1
Al3 Al 0.500 0.500 0.000 1
Cu1 Cu 0.500 0.500 0.500 1
F1 F 0.091 0.616 0.616 1
F2 F 0.212 0.212 0.588 1
F3 F 0.212 0.588 0.212 1
F4 F 0.384 0.384 0.909 1
F5 F 0.384 0.909 0.384 1
F6 F 0.412 0.788 0.788 1
F7 F 0.588 0.212 0.212 1
F8 F 0.616 0.091 0.616 1
F9 F 0.616 0.616 0.091 1
F10 F 0.788 0.412 0.788 1
F11 F 0.788 0.788 0.412 1
F12 F 0.909 0.384 0.384 1
# - raw formation energy (eV/atom) = -3.049
# - total DFT energy (no corrections) (eV per atom) = -5.2946
# - V (Å³/cell) = 240
# - symmetry = R-3m, No. 166